Entry from Alexandria via LeMat-Bulk: a relaxed Ti4BiTe crystal (PBE).

The space group is P2_1/m (No. 11) and the conventional cell measures 5.2930, 5.7886 and 8.0753 Å, with angles of 90.00, 98.56 and 90.00 degrees. The distinct sites, in fractional coordinates, are Ti at (0.1620, 0.0120, 0.1550), Ti at (0.1971, 0.2500, 0.4508), Ti at (0.2943, 0.7500, 0.7930), Bi at (0.3412, 0.2500, 0.8702) and Te at (0.2761, 0.7500, 0.4482).

The calculation puts the density of states at the Fermi level at 4.8 states/eV/f.u. Its total DFT energy (no corrections) is -6.67 eV/atom. For the uncorrected formation energy, the calculation gives -1.4 eV per formula unit.